Entry 1:
VASP calculation (PBE) on crystalline Pm8Ga3CuI4 at its relaxed geometry.

extended XYZ file:
```
16
Lattice="-7.7191 -0.9193 -3.6658 -3.3172 -3.2914 7.8105 3.8091 7.7143 0.1198" Properties=species:S:1:pos:R:3 pbc="T T T"
Pm -0.9800 2.8631 1.3457
Pm -2.3737 1.0642 4.7314
I 0.0000 0.0000 0.0000
Pm -6.2472 0.6405 2.9189
Pm -4.3529 4.5042 2.9340
I 1.9045 3.8571 0.0599
Ga 0.2459 2.2114 3.9652
Pm -0.4437 4.9698 4.7905
Pm -2.8743 -1.0006 1.3306
Ga -3.6136 1.7518 2.1323
I -3.8595 -0.4597 -1.8329
Pm -6.7835 -1.4662 -0.5259
I -1.9550 3.3975 -1.7730
Pm -4.8536 2.4394 -0.4668
Ga -5.5182 -2.1053 2.0724
Cu -1.6586 -1.6457 3.9053
```

Summary:
Calculated volume ... 30.5 Å³/atom
E_form (uncorrected) ... -0.685 eV/atom
VASP energy ... -4.27 eV/atom
Magnetization ... 0.00 Bohr magnetons per cell
Space group ... C2/m (12)

=====

Entry 2:
VASP calculation (PBE) on crystalline Pr8Ga3CuI4 at its relaxed geometry.

extended XYZ file:
```
16
Lattice="-7.9432 -3.4598 1.1048 3.8080 -8.2537 1.5310 2.5574 6.7341 4.9512" Properties=species:S:1:pos:R:3 pbc="T T T"
I 0.0000 0.0000 0.0000
Ga -0.7889 -2.4897 3.7935
Pr 3.3297 -0.1131 6.1765
I 1.2787 3.3671 2.4756
Pr 0.3464 0.2648 3.3193
Ga 3.1827 -0.7598 3.2411
Pr -0.9022 -3.1216 0.8534
Ga -2.0676 -5.8567 1.3179
Pr 2.0406 -3.5093 3.6814
I -2.6929 1.6372 3.0280
I -3.9716 -1.7299 0.5524
Pr -0.6756 -1.8577 6.7336
Pr -4.9074 -4.8662 1.4106
Cu 1.9040 -4.1268 0.7655
Pr -1.9241 -5.2441 4.2678
Pr -3.6184 -1.4700 3.9057
```

Summary:
Calculated volume ... 31.9 Å³/atom
E_form (uncorrected) ... -0.699 eV/atom
VASP energy ... -4.30 eV/atom
Magnetization ... 0.00 Bohr magnetons per cell
Space group ... C2/m (12)

=====

Entry 3:
VASP calculation (PBE) on crystalline GaCu2PtI at its relaxed geometry.

extended XYZ file:
```
5
Lattice="4.7305 0.0000 0.0000 0.0000 5.8722 0.0000 0.0000 0.0000 4.7305" Properties=species:S:1:pos:R:3 pbc="T T T"
Cu 2.3653 0.0000 0.0000
I 0.0000 0.0000 0.0000
Ga 0.0000 2.9361 0.0000
Pt 2.3653 2.9361 2.3653
Cu 0.0000 0.0000 2.3653
```

Summary:
Calculated volume ... 26.3 Å³/atom
E_form (uncorrected) ... 1.151 eV/atom
VASP energy ... -2.61 eV/atom
Magnetization ... 0.00 Bohr magnetons per cell
Space group ... P4/mmm (123)

=====

Entry 4:
VASP calculation (PBE) on crystalline GaCuPtI2 at its relaxed geometry.

extended XYZ file:
```
5
Lattice="-0.8446 -3.3254 4.4829 -2.6460 -2.9246 -2.6680 4.6167 -2.9644 -1.3291" Properties=species:S:1:pos:R:3 pbc="T T T"
I 2.3083 -1.4822 -0.6646
Pt 0.0000 0.0000 0.0000
I -0.4223 -1.6627 2.2414
Ga -1.3230 -1.4623 -1.3340
Cu 0.5630 -4.6072 0.2429
```

Summary:
Calculated volume ... 30.3 Å³/atom
E_form (uncorrected) ... 0.354 eV/atom
VASP energy ... -2.90 eV/atom
Magnetization ... 0.00 Bohr magnetons per cell
Space group ... P4/mmm (123)